one) Below is a geometry-optimized Er4GaTe structure, with properties calculated at the GGA-PBE level.

```
Er4GaTe
1.0
5.8346 0.2502 0.0000
-2.5253 7.1788 0.0000
0.0000 0.0000 8.5790
Er Te Ga
8 2 2
direct
0.4138 0.5107 0.2500
0.9693 0.2602 0.5517
0.5862 0.4893 0.7500
0.0307 0.7398 0.0517
0.9693 0.2602 0.9483
0.5695 0.0161 0.2500
0.0307 0.7398 0.4483
0.4305 0.9839 0.7500
0.8985 0.9095 0.7500
0.1015 0.0905 0.2500
0.8632 0.4255 0.2500
0.1368 0.5745 0.7500
```

The calculation puts the density of states at the Fermi level at 0.942 states/eV per atom.



two) Below is a geometry-optimized Er4GaTe structure, with properties calculated at the GGA-PBE level.

```
Er4GaTe
1.0
4.1120 0.0000 0.0000
0.0000 8.1954 0.0000
0.0000 0.0000 18.9095
Er Te Ga
16 4 4
direct
0.2500 0.6409 0.9424
0.2500 0.5413 0.7147
0.7500 0.4587 0.2853
0.2500 0.6399 0.1504
0.7500 0.8601 0.6504
0.2500 0.9947 0.0671
0.7500 0.5053 0.5671
0.2500 0.1409 0.5576
0.2500 0.1399 0.3496
0.7500 0.9587 0.2147
0.7500 0.3591 0.0576
0.2500 0.4947 0.4329
0.2500 0.0413 0.7853
0.7500 0.0053 0.9329
0.7500 0.8591 0.4424
0.7500 0.3601 0.8496
0.2500 0.2599 0.1875
0.2500 0.7599 0.3125
0.7500 0.7401 0.8125
0.7500 0.2401 0.6875
0.7500 0.7349 0.0476
0.7500 0.2349 0.4524
0.2500 0.2651 0.9524
0.2500 0.7651 0.5476
```

The calculation puts the density of states at the Fermi level at 1.176 states/eV per atom.



Which one is most stable, and which one is least stable? two) is the most stable of them, while one) is the least stable.



one) Below is a geometry-optimized Er2GaTe structure, with properties calculated at the GGA-PBE level.

```
Er2GaTe
1.0
-2.7759 -0.6367 -2.9717
0.3047 -4.2705 0.6304
-8.6758 2.6850 7.5288
Ga Te Er
2 2 4
direct
0.2500 0.4619 0.9238
0.7500 0.5381 0.0762
0.2500 0.1948 0.3897
0.7500 0.8052 0.6103
0.7500 0.9383 0.8766
0.2500 0.0617 0.1234
0.7500 0.6650 0.3299
0.2500 0.3350 0.6701
```

The calculation puts the density of states at the Fermi level at 0.655 states/eV per atom.



two) Below is a geometry-optimized Er2GaTe structure, with properties calculated at the GGA-PBE level.

```
Er2GaTe
1.0
-2.8853 -2.5872 1.0095
0.4887 -3.9141 -0.6914
2.4670 -3.0214 7.2511
Te Er Ga
1 2 1
direct
0.6680 0.6680 0.9961
0.2470 0.2470 0.2591
0.0858 0.0858 0.7426
0.4992 0.4992 0.5023
```

The calculation puts the density of states at the Fermi level at 0.603 states/eV per atom.



three) Below is a geometry-optimized Er2GaTe structure, with properties calculated at the GGA-PBE level.

```
Er2GaTe
1.0
4.0675 0.0000 0.0000
2.0337 3.5225 0.0000
2.0337 1.1742 7.4935
Ga Er Te
1 2 1
direct
0.0000 0.0000 0.0000
0.2555 0.2555 0.2334
0.7445 0.7445 0.7666
0.5000 0.5000 0.5000
```

The calculation puts the density of states at the Fermi level at 0.339 states/eV per atom.



Which one is most stable, and which one is least stable? one) is the most stable of them, while two) is the least stable.